(1)
{"formula": "Tc2RhSN", "functional": "PBE-GGA", "state": "optimized geometry", "m_tot_mub_per_fu": 0.00, "e_form_raw_mev_per_atom": 1632, "n_ef_per_ev_atom": 1.53, "vol_a3_per_atom": 16.12, "lattice_angstrom": [[4.345, 0.000, 0.000], [0.000, 4.345, 0.000], [0.000, 0.000, 4.269]], "species": ["Tc", "Tc", "Rh", "S", "N"], "fractional_positions": [[0.000, 0.500, 0.000], [0.500, 0.000, 0.000], [0.000, 0.000, 0.500], [0.000, 0.000, 0.000], [0.500, 0.500, 0.500]]}


(2)
{"formula": "TcRhSN2", "functional": "PBE-GGA", "state": "optimized geometry", "m_tot_mub_per_fu": 3.98, "e_above_lowest_polymorph_ev_per_atom": 0.566, "e_form_raw_mev_per_atom": 1394, "n_ef_per_ev_atom": 0.89, "vol_a3_per_atom": 14.91, "lattice_angstrom": [[3.773, 0.000, 0.000], [0.000, 3.773, 0.000], [0.000, 0.000, 5.237]], "species": ["Tc", "Rh", "S", "N", "N"], "fractional_positions": [[0.000, 0.000, 0.000], [0.500, 0.500, 0.500], [0.500, 0.500, 0.000], [0.000, 0.500, 0.500], [0.500, 0.000, 0.500]]}


(3)
{"formula": "TeRhSN2", "functional": "PBE-GGA", "state": "optimized geometry", "m_tot_mub_per_fu": 1.57, "e_above_lowest_polymorph_ev_per_atom": 0.646, "e_form_raw_mev_per_atom": 1666, "n_ef_per_ev_atom": 1.35, "vol_a3_per_atom": 16.58, "lattice_angstrom": [[3.850, 0.000, 0.000], [0.000, 3.850, 0.000], [0.000, 0.000, 5.594]], "species": ["Te", "Rh", "S", "N", "N"], "fractional_positions": [[0.000, 0.000, 0.000], [0.500, 0.500, 0.500], [0.000, 0.000, 0.500], [0.000, 0.500, 0.000], [0.500, 0.000, 0.000]]}


(4)
{"formula": "Te2RhSN", "functional": "PBE-GGA", "state": "optimized geometry", "m_tot_mub_per_fu": 0.00, "e_above_lowest_polymorph_ev_per_atom": 0.000, "e_form_raw_mev_per_atom": 588, "n_ef_per_ev_atom": 0.94, "vol_a3_per_atom": 21.50, "lattice_angstrom": [[5.439, 0.000, 0.000], [0.000, 5.439, 0.000], [0.000, 0.000, 3.633]], "species": ["Te", "Te", "Rh", "S", "N"], "fractional_positions": [[0.000, 0.500, 0.000], [0.500, 0.000, 0.000], [0.000, 0.000, 0.000], [0.500, 0.500, 0.500], [0.000, 0.000, 0.500]]}


(5)
{"formula": "TeRhSN2", "functional": "PBE-GGA", "state": "optimized geometry", "m_tot_mub_per_fu": 0.41, "e_above_lowest_polymorph_ev_per_atom": 0.000, "e_form_raw_mev_per_atom": 1020, "n_ef_per_ev_atom": 0.35, "vol_a3_per_atom": 17.32, "lattice_angstrom": [[3.802, 0.000, 0.000], [0.000, 3.802, 0.000], [0.000, 0.000, 5.991]], "species": ["Te", "Rh", "S", "N", "N"], "fractional_positions": [[0.000, 0.000, 0.000], [0.000, 0.000, 0.500], [0.500, 0.500, 0.000], [0.000, 0.500, 0.500], [0.500, 0.000, 0.500]]}


(6)
{"formula": "TeRhSN2", "functional": "PBE-GGA", "state": "optimized geometry", "m_tot_mub_per_fu": 0.86, "e_above_lowest_polymorph_ev_per_atom": 0.101, "e_form_raw_mev_per_atom": 1121, "n_ef_per_ev_atom": 0.92, "vol_a3_per_atom": 15.40, "lattice_angstrom": [[3.909, 0.000, 0.000], [0.000, 3.909, 0.000], [0.000, 0.000, 5.040]], "species": ["Te", "Rh", "S", "N", "N"], "fractional_positions": [[0.000, 0.000, 0.000], [0.500, 0.500, 0.500], [0.500, 0.500, 0.000], [0.000, 0.500, 0.500], [0.500, 0.000, 0.500]]}


(7)
{"formula": "Te2RhSN", "functional": "PBE-GGA", "state": "optimized geometry", "m_tot_mub_per_fu": 0.00, "e_above_lowest_polymorph_ev_per_atom": 0.288, "e_form_raw_mev_per_atom": 876, "n_ef_per_ev_atom": 0.76, "vol_a3_per_atom": 18.37, "lattice_angstrom": [[5.281, 0.000, 0.000], [0.000, 5.281, 0.000], [0.000, 0.000, 3.294]], "species": ["Te", "Te", "Rh", "S", "N"], "fractional_positions": [[0.000, 0.500, 0.000], [0.500, 0.000, 0.000], [0.000, 0.000, 0.500], [0.500, 0.500, 0.000], [0.500, 0.500, 0.500]]}


(8)
{"formula": "TeRhSN2", "functional": "PBE-GGA", "state": "optimized geometry", "m_tot_mub_per_fu": 0.00, "e_above_lowest_polymorph_ev_per_atom": 0.509, "e_form_raw_mev_per_atom": 1529, "n_ef_per_ev_atom": 0.91, "vol_a3_per_atom": 19.17, "lattice_angstrom": [[3.560, 0.000, 0.000], [0.000, 3.560, 0.000], [0.000, 0.000, 7.560]], "species": ["Te", "Rh", "S", "N", "N"], "fractional_positions": [[0.000, 0.000, 0.000], [0.500, 0.500, 0.000], [0.000, 0.000, 0.500], [0.000, 0.500, 0.500], [0.500, 0.000, 0.500]]}